## CsZrCu2F8 (PBE-GGA)

Data for a relaxed CsZrCu2F8 crystal.

The structure belongs to space group C2/m (No. 12); the cell edges are 8.7954, 6.4520 and 8.2907 Å and the angles 90.00°, 112.18° and 90.00°. The inequivalent atoms are Cs at (0.0000, 0.0000, 0.0000), Zr at (0.0000, 0.0000, 0.5000), Cu at (0.0475, 0.5000, 0.2036), F at (0.0171, 0.2215, 0.6820), F at (0.1476, 0.5000, 0.0122) and F at (0.2492, 0.5000, 0.4175).

The value obtained for the formation energy from raw total energies is -2.560 eV/atom. The calculation puts the total DFT energy (no corrections) at -5.274 eV/atom. Its magnetization is 1.00 μB/f.u.


## Cs2FeCu2 (PBE-GGA)

Data for a relaxed Cs2FeCu2 crystal.

The structure belongs to space group P4/mbm (No. 127); the cell edges are 6.9537, 6.9537 and 5.7924 Å and the angles 90.00°, 90.00° and 90.00°. The inequivalent atoms are Cs at (0.1827, 0.3173, 0.0000), Fe at (0.0000, 0.0000, 0.5000) and Cu at (0.1320, 0.6320, 0.5000).

As for the formation energy: 0.8444 eV/atom. The calculation puts the total DFT energy (no corrections) at -2.828 eV/atom. Its magnetization is 2.91 μB/f.u.


## Cs3FeCu (PBE-GGA)

Data for a relaxed Cs3FeCu crystal.

The structure belongs to space group Pm-3m (No. 221); the cell edges are 6.8088, 6.8088 and 6.8088 Å and the angles 90.00°, 90.00° and 90.00°. The inequivalent atoms are Cs at (0.0000, 0.0000, 0.5000), Fe at (0.5000, 0.5000, 0.5000) and Cu at (0.0000, 0.0000, 0.0000).

As for the formation energy: 0.9380 eV/atom. The calculation puts the total DFT energy (no corrections) at -2.086 eV/atom. Its magnetization is 2.12 μB/f.u.